{"formula": "ScP3O", "functional": "PBE", "state": "relaxed", "dft_energy_ev_per_cell": -28.510, "vol_a3_per_cell": 73, "formation_energy_uncorrected_ev_per_atom": -0.20, "magnetic_moment_mub_per_fu": 0.0, "dos_ef_per_ev_fu": 1.92, "lattice": [[4.175, 0.000, 0.000], [0.000, 4.175, 0.000], [0.000, 0.000, 4.175]], "species": ["Sc", "P", "P", "P", "O"], "frac_coords": [[0.000, 0.000, 0.000], [0.000, 0.500, 0.500], [0.500, 0.000, 0.500], [0.500, 0.500, 0.000], [0.500, 0.500, 0.500]]}